Record 1
{
  "formula": "Na2AgHg",
  "functional": "PBE",
  "state": "relaxed",
  "lattice_angstrom": [[-2.1852, 2.1852, 10.7060], [2.1852, -2.1852, 10.7060], [2.1852, 2.1852, -10.7060]],
  "species": ["Na", "Na", "Na", "Na", "Ag", "Ag", "Hg", "Hg"],
  "fractional_positions": [[0.1212, 0.6250, 0.9962], [0.3750, 0.3712, 0.4962], [0.6288, 0.1250, 0.0038], [0.8750, 0.8788, 0.5038], [0.0000, 0.0000, 0.0000], [0.7500, 0.2500, 0.5000], [0.2500, 0.7500, 0.5000], [0.5000, 0.5000, 0.0000]],
  "total_energy_ev_per_atom": -1.40,
  "total_magnetization_mub_per_cell": 0.00
}


Record 2
{
  "formula": "Na4Ag2Hg",
  "functional": "PBE",
  "state": "relaxed",
  "lattice_angstrom": [[6.0785, 0.0000, 0.0000], [2.6871, 6.8949, 0.0000], [2.8919, 1.2444, 8.7393]],
  "species": ["Na", "Na", "Na", "Na", "Na", "Na", "Na", "Na", "Ag", "Ag", "Ag", "Ag", "Hg", "Hg"],
  "fractional_positions": [[0.0028, 0.2677, 0.2385], [0.0412, 0.7699, 0.1365], [0.4590, 0.7357, 0.3752], [0.4949, 0.7856, 0.7310], [0.5051, 0.2144, 0.2690], [0.5410, 0.2643, 0.6248], [0.9588, 0.2301, 0.8635], [0.9972, 0.7323, 0.7615], [0.0000, 0.5000, 0.5000], [0.1276, 0.0928, 0.5491], [0.5000, 0.0000, 0.0000], [0.8724, 0.9072, 0.4509], [0.3516, 0.4157, 0.9421], [0.6484, 0.5843, 0.0579]],
  "total_energy_ev_per_atom": -1.69,
  "total_magnetization_mub_per_cell": 0.00
}


Record 3
{
  "formula": "Na2AgHg",
  "functional": "PBE",
  "state": "relaxed",
  "lattice_angstrom": [[3.6735, 0.0000, 0.0000], [0.0000, 3.6735, 0.0000], [0.0000, 0.0000, 7.2854]],
  "species": ["Na", "Na", "Ag", "Hg"],
  "fractional_positions": [[0.0000, 0.0000, 0.2370], [0.0000, 0.0000, 0.7630], [0.5000, 0.5000, 0.0000], [0.5000, 0.5000, 0.5000]],
  "total_energy_ev_per_atom": -1.55,
  "total_magnetization_mub_per_cell": 0.00
}


Record 4
{
  "formula": "NaAg2Hg2",
  "functional": "PBE",
  "state": "relaxed",
  "lattice_angstrom": [[8.4192, 0.0000, 0.0000], [0.0000, 8.4192, 0.0000], [0.0000, 0.0000, 3.1519]],
  "species": ["Na", "Na", "Ag", "Ag", "Ag", "Ag", "Hg", "Hg", "Hg", "Hg"],
  "fractional_positions": [[0.0000, 0.0000, 0.0000], [0.5000, 0.5000, 0.0000], [0.1663, 0.3337, 0.5000], [0.3337, 0.8337, 0.5000], [0.6663, 0.1663, 0.5000], [0.8337, 0.6663, 0.5000], [0.1332, 0.6332, 0.0000], [0.3668, 0.1332, 0.0000], [0.6332, 0.8668, 0.0000], [0.8668, 0.3668, 0.0000]],
  "total_energy_ev_per_atom": -1.55,
  "total_magnetization_mub_per_cell": 0.00,
  "de_polymorph_ev_per_atom": 0.0343
}


Record 5
{
  "formula": "NaAgHg6",
  "functional": "PBE",
  "state": "relaxed",
  "lattice_angstrom": [[5.1672, 0.0000, 0.0000], [0.0000, 3.3450, 5.6588], [0.0000, -3.3450, 5.6588]],
  "species": ["Na", "Ag", "Hg", "Hg", "Hg", "Hg", "Hg", "Hg"],
  "fractional_positions": [[0.0000, 0.0000, 0.0000], [0.5000, 0.6737, 0.6737], [0.0000, 0.5046, 0.5046], [0.0000, 0.5062, 0.9891], [0.0000, 0.9891, 0.5062], [0.5000, 0.1695, 0.1695], [0.5000, 0.1705, 0.6720], [0.5000, 0.6720, 0.1705]],
  "total_energy_ev_per_atom": -0.78,
  "total_magnetization_mub_per_cell": 0.00
}


Record 6
{
  "formula": "Na2AgHg4",
  "functional": "PBE",
  "state": "relaxed",
  "lattice_angstrom": [[2.1825, -11.6003, 0.0000], [2.1825, 11.6003, 0.0000], [0.0000, 0.0000, 3.4792]],
  "species": ["Na", "Na", "Ag", "Hg", "Hg", "Hg", "Hg"],
  "fractional_positions": [[0.0681, 0.9319, 0.0000], [0.9319, 0.0681, 0.0000], [0.5000, 0.5000, 0.5000], [0.2045, 0.7955, 0.0000], [0.3663, 0.6337, 0.5000], [0.6337, 0.3663, 0.5000], [0.7955, 0.2045, 0.0000]],
  "total_energy_ev_per_atom": -1.03,
  "total_magnetization_mub_per_cell": 0.00,
  "de_polymorph_ev_per_atom": 0.0537
}


Record 7
{
  "formula": "Na3Ag8Hg",
  "functional": "PBE",
  "state": "relaxed",
  "lattice_angstrom": [[2.8111, 1.6230, 9.3018], [-2.8111, 1.6230, 9.3018], [0.0000, -3.2460, 9.3018]],
  "species": ["Na", "Na", "Na", "Ag", "Ag", "Ag", "Ag", "Ag", "Ag", "Ag", "Ag", "Hg"],
  "fractional_positions": [[0.0000, 0.0000, 0.0000], [0.1270, 0.1270, 0.1270], [0.6222, 0.6222, 0.6222], [0.0624, 0.0624, 0.5630], [0.0622, 0.5623, 0.5623], [0.0624, 0.5630, 0.0624], [0.3124, 0.3124, 0.3124], [0.5623, 0.0622, 0.5623], [0.5623, 0.5623, 0.0622], [0.5630, 0.0624, 0.0624], [0.8123, 0.8123, 0.8123], [0.4975, 0.4975, 0.4975]],
  "total_energy_ev_per_atom": -2.31,
  "total_magnetization_mub_per_cell": 0.00
}


Record 8
{
  "formula": "Na3Ag4Hg2",
  "functional": "PBE",
  "state": "relaxed",
  "lattice_angstrom": [[5.3334, -2.4345, 0.0000], [5.3334, 2.4345, 0.0000], [-2.0472, 0.0000, 8.0655]],
  "species": ["Na", "Na", "Na", "Ag", "Ag", "Ag", "Ag", "Hg", "Hg"],
  "fractional_positions": [[0.0000, 0.0000, 0.0000], [0.4522, 0.4522, 0.6783], [0.5478, 0.5478, 0.3217], [0.1333, 0.1333, 0.5723], [0.2696, 0.2696, 0.9209], [0.7304, 0.7304, 0.0791], [0.8667, 0.8667, 0.4277], [0.2455, 0.2455, 0.2798], [0.7545, 0.7545, 0.7202]],
  "total_energy_ev_per_atom": -1.84,
  "total_magnetization_mub_per_cell": 0.00
}